[1]
A relaxed PrY2Fe crystal, computed with PBE.

Cell lengths 3.398, 3.398, 9.210 Å; angles 90.00, 90.00, 90.00 degrees
Element x y z (fractional)
Pr 0.000 0.000 0.000
Y 0.500 0.500 0.325
Y 0.500 0.500 0.675
Fe 0.000 0.000 0.500

Output
As for the formation energy from the elements: 0.095 eV per atom. Its energy above the most stable polymorph in this dataset is 0.00 eV/f.u. The calculation puts the magnetization at 0.000 μB per formula unit.

***

[2]
A relaxed Cs2KTe crystal, computed with PBE.

Cell lengths 5.668, 5.668, 41.168 Å; angles 90.00, 90.00, 120.00 degrees
Element x y z (fractional)
Cs 0.000 0.000 0.125
Cs 0.000 0.000 0.875
Cs 0.333 0.667 0.542
Cs 0.333 0.667 0.792
Cs 0.667 0.333 0.208
Cs 0.667 0.333 0.458
K 0.000 0.000 0.000
K 0.333 0.667 0.667
K 0.667 0.333 0.333
Te 0.000 0.000 0.500
Te 0.333 0.667 0.167
Te 0.667 0.333 0.833

Output
Its energy above the most stable polymorph in this dataset is 0.31 eV/f.u. The raw formation energy comes out at -2.32 eV per formula unit. The calculation puts the magnetization at 0.000 μB per formula unit.

***

[3]
A relaxed Ba2ScMo crystal, computed with PBE.

Cell lengths 7.415, 9.312, 3.940 Å; angles 90.00, 90.00, 90.00 degrees
Element x y z (fractional)
Ba 0.250 0.250 0.000
Ba 0.250 0.750 0.000
Ba 0.750 0.250 0.000
Ba 0.750 0.750 0.000
Sc 0.000 0.000 0.500
Sc 0.500 0.500 0.500
Mo 0.000 0.500 0.500
Mo 0.500 0.000 0.500

Output
As for the formation energy from the elements: 1.058 eV per atom. Its energy above the most stable polymorph in this dataset is 2.08 eV/f.u. The calculation puts the magnetization at 1.941 μB per formula unit.

***

[4]
A relaxed MgSc2Tl3Se6 crystal, computed with PBE.

Cell lengths 6.969, 6.969, 7.794 Å; angles 98.57, 98.57, 120.02 degrees
Element x y z (fractional)
Mg 0.000 0.000 0.000
Sc 0.333 0.667 0.000
Sc 0.667 0.333 0.000
Tl 0.166 0.834 0.500
Tl 0.500 0.500 0.500
Tl 0.834 0.166 0.500
Se 0.066 0.404 0.198
Se 0.271 0.271 0.804
Se 0.404 0.066 0.198
Se 0.596 0.934 0.802
Se 0.729 0.729 0.196
Se 0.934 0.596 0.802

Output
The raw formation energy comes out at -12.81 eV per formula unit. The calculation puts the magnetization at 0.000 μB per formula unit.

***

| no. | raw total energy (eV/atom) | N(E_F) (states/eV per cell) |
| --- | --- | --- |
| 1 | -6.45 | 3.167 |
| 2 | -2.07 | 20.535 |
| 3 | -4.19 | 12.909 |
| 4 | -4.59 | 4.643 |